Entry 1:
Here is a relaxed LaTiFe3 crystal from the Alexandria database. Energies are from PBE.

a b c (Å): 4.5691 4.5691 4.5691
angles (deg): 90.00 90.00 90.00
Atoms (fractional coordinates):
La (0.0000, 0.0000, 0.0000)
Ti (0.5000, 0.5000, 0.5000)
Fe (0.0000, 0.5000, 0.5000)
Fe (0.5000, 0.0000, 0.5000)
Fe (0.5000, 0.5000, 0.0000)

ΔH_f (0 K): 563 meV/atom
DOS(E_F): 0.834 states/eV/atom
DFT total energy: -0.52027 Ry/atom
relative energy among the computed polymorphs: 0 meV/atom
total moment: 0.990 μB/atom
V: 95.4 Å³ per cell


Entry 2:
Here is a relaxed LaTi3Fe crystal from the Alexandria database. Energies are from PBE.

a b c (Å): 4.6623 4.6623 4.6623
angles (deg): 90.00 90.00 90.00
Atoms (fractional coordinates):
La (0.0000, 0.0000, 0.0000)
Ti (0.0000, 0.5000, 0.5000)
Ti (0.5000, 0.0000, 0.5000)
Ti (0.5000, 0.5000, 0.0000)
Fe (0.5000, 0.5000, 0.5000)

ΔH_f (0 K): 119 meV/atom
DOS(E_F): 1.830 states/eV/atom
DFT total energy: -0.53625 Ry/atom
relative energy among the computed polymorphs: 0 meV/atom
total moment: 0.000 μB/atom
V: 101.3 Å³ per cell


Q: Look up the DOS(E_F) of the first one.
A: 0.834 states/eV/atom


What did the first record say?
Here is a relaxed LaTiFe3 crystal from the Alexandria database. Energies are from PBE.

a b c (Å): 4.5691 4.5691 4.5691
angles (deg): 90.00 90.00 90.00
Atoms (fractional coordinates):
La (0.0000, 0.0000, 0.0000)
Ti (0.5000, 0.5000, 0.5000)
Fe (0.0000, 0.5000, 0.5000)
Fe (0.5000, 0.0000, 0.5000)
Fe (0.5000, 0.5000, 0.0000)

ΔH_f (0 K): 563 meV/atom
DOS(E_F): 0.834 states/eV/atom
DFT total energy: -0.52027 Ry/atom
relative energy among the computed polymorphs: 0 meV/atom
total moment: 0.990 μB/atom
V: 95.4 Å³ per cell